# 1
Material: BTeRuN2
Method: DFT, PBE
State: optimized geometry

abc: 3.7697 4.8227 3.7697
angles: 90.00 90.00 90.00
With the nearest neighbours (Å) after each atom.
Positions (direct):
Ru 0.0000 0.0000 0.0000  4 N 1.88
B 0.0000 0.5000 0.0000  2 Ru 2.41, 4 Te 2.67
Te 0.5000 0.5000 0.5000  4 B 2.67
N 0.0000 0.0000 0.5000  2 Ru 1.88
N 0.5000 0.0000 0.0000  2 Ru 1.88

Computed properties:
formation energy (no corrections)	1.254	eV per atom
energy	-29.5	eV for the cell shown
space group	P4/mmm (123)
calculated density	6.48	g cm⁻³

# 2
Material: SmBiSb
Method: DFT, PBE
State: optimized geometry

abc: 4.1365 4.1365 5.9365
angles: 110.39 110.39 90.00
With the nearest neighbours (Å) after each atom.
Positions (direct):
Sb 0.9317 0.9317 0.8634  1 Bi 3.14, 4 Sm 3.27
Bi 0.6274 0.6274 0.2547  1 Sb 3.14, 5 Sm 3.38-3.48
Sm 0.2909 0.2909 0.5818  4 Sb 3.27, 5 Bi 3.38-3.48

Computed properties:
formation energy (no corrections)	-0.602	eV per atom
energy	-14.5	eV for the cell shown
space group	I4mm (107)
calculated density	9.04	g cm⁻³

# 3
Material: Cs3Hg3Bi
Method: DFT, PBE
State: optimized geometry

abc: 5.6226 7.2814 17.6945
angles: 87.86 80.86 67.29
With the nearest neighbours (Å) after each atom.
Positions (direct):
Cs 0.5416 0.3124 0.6043  5 Hg 3.75-4.20, 4 Bi 3.94-4.01
Cs 0.4584 0.6876 0.3957  5 Hg 3.75-4.20, 4 Bi 3.94-4.01
Cs 0.2258 0.3043 0.2442  6 Hg 3.83-4.21, 2 Bi 4.05
Cs 0.7742 0.6957 0.7558  6 Hg 3.83-4.21, 2 Bi 4.05
Cs 0.3950 0.2898 0.9201  7 Hg 3.94-4.11
Cs 0.6050 0.7102 0.0799  7 Hg 3.94-4.11
Hg 0.8626 0.7374 0.5373  3 Bi 3.28-3.60, 1 Hg 3.41
Hg 0.1374 0.2626 0.4627  3 Bi 3.28-3.60, 1 Hg 3.41
Hg 0.0993 0.8787 0.9228  2 Hg 3.12
Hg 0.9007 0.1213 0.0772  2 Hg 3.12
Hg 0.9397 0.8909 0.2297  1 Bi 3.06, 1 Hg 3.12
Hg 0.0603 0.1091 0.7703  1 Bi 3.06, 1 Hg 3.12
Bi 0.7575 0.0968 0.3883  3 Hg 3.06-3.28
Bi 0.2425 0.9032 0.6117  3 Hg 3.06-3.28

Computed properties:
energy	-18.6	eV for the cell shown
space group	C2/m (12)
calculated density	6.09	g cm⁻³

# 4
Material: ScCoSi2
Method: DFT, PBE
State: optimized geometry

abc: 4.3027 4.3027 4.8199
angles: 77.15 77.15 44.29
With the nearest neighbours (Å) after each atom.
Positions (direct):
Co 0.4833 0.4833 0.6024  5 Si 2.28-2.40
Sc 0.2472 0.2472 0.2466  7 Si 2.71-2.96, 3 Co 2.83-2.87
Si 0.0130 0.0130 0.9205  2 Co 2.28, 3 Si 2.43-2.53
Si 0.7566 0.7566 0.7306  3 Co 2.40, 3 Si 2.43-2.53

Computed properties:
formation energy (no corrections)	-0.372	eV per atom
energy	-25.8	eV for the cell shown
space group	Cm (8)
calculated density	4.39	g cm⁻³

# 5
Material: BaAlCl4
Method: DFT, PBE
State: optimized geometry

abc: 6.1729 6.1729 6.1729
angles: 60.00 60.00 60.00
With the nearest neighbours (Å) after each atom.
Positions (direct):
Ba 0.0000 0.0000 0.0000  12 Cl 3.62, 4 Al 3.78
Al 0.7500 0.7500 0.7500  12 Cl 3.62, 4 Ba 3.78
Cl 0.8748 0.3751 0.3751  6 Cl 3.09
Cl 0.3751 0.3751 0.8748  6 Cl 3.09
Cl 0.3751 0.8748 0.3751  6 Cl 3.09
Cl 0.3751 0.3751 0.3751  6 Cl 3.09

Computed properties:
formation energy (no corrections)	-0.624	eV per atom
energy	-16.8	eV for the cell shown
space group	F-43m (216)
calculated density	3.06	g cm⁻³

# 6
Material: CrWCl2
Method: DFT, PBE
State: optimized geometry

abc: 5.8772 5.8772 5.8772
angles: 143.87 143.87 52.02
With the nearest neighbours (Å) after each atom.
Positions (direct):
Cr 0.5000 0.5000 0.0000  4 Cl 2.58
W 0.7500 0.2500 0.5000  4 Cl 2.58
Cl 0.0000 0.0000 0.0000  4 Cr 2.58
Cl 0.2500 0.7500 0.5000  4 W 2.58

Computed properties:
formation energy (no corrections)	0.911	eV per atom
energy	-22.6	eV for the cell shown
space group	I-4m2 (119)
calculated density	7.26	g cm⁻³

# 7
Material: CaNbP2Au
Method: DFT, PBE
State: optimized geometry

abc: 4.7211 6.3791 4.7211
angles: 90.00 90.00 90.00
With the nearest neighbours (Å) after each atom.
Positions (direct):
P 0.0000 0.0000 0.5000  2 Nb 2.36
P 0.5000 0.0000 0.0000  2 Nb 2.36
Nb 0.0000 0.0000 0.0000  4 P 2.36
Au 0.5000 0.5000 0.5000  4 Ca 3.34
Ca 0.0000 0.5000 0.0000  2 Nb 3.19, 4 Au 3.34

Computed properties:
energy	-24.7	eV for the cell shown
space group	P4/mmm (123)
calculated density	4.58	g cm⁻³

# 8
Material: NiSe2Br2
Method: DFT, PBE
State: optimized geometry

abc: 6.5311 6.5311 5.3404
angles: 90.00 90.00 90.00
With the nearest neighbours (Å) after each atom.
Positions (direct):
Ni 0.0000 0.0000 0.0000  4 Se 2.43
Ni 0.5000 0.5000 0.0000  4 Se 2.43
Se 0.3305 0.8305 0.0000  2 Ni 2.43, 2 Br 2.67
Se 0.8305 0.6695 0.0000  2 Ni 2.43, 2 Br 2.67
Se 0.6695 0.1695 0.0000  2 Ni 2.43, 2 Br 2.67
Se 0.1695 0.3305 0.0000  2 Ni 2.43, 2 Br 2.67
Br 0.3191 0.8191 0.5000  2 Se 2.67
Br 0.8191 0.6809 0.5000  2 Se 2.67
Br 0.6809 0.1809 0.5000  2 Se 2.67
Br 0.1809 0.3191 0.5000  2 Se 2.67

Computed properties:
formation energy (no corrections)	0.114	eV per atom
energy	-31.1	eV for the cell shown
space group	P4/mbm (127)
calculated density	5.49	g cm⁻³